Hf2SiNi6 | the Alexandria database | GGA-PBE | optimized geometry; DOS(E_F) = 4.44 states/eV/f.u.; size of the total moment = 0.00 μB per cell; VASP energy = -0.5308 Ry/atom; formation energy without anion corrections = -553.7 meV per atom
1.0
4.370 -2.525 0.000
4.370 2.525 0.000
-0.012 0.000 5.350
Hf Si Ni
2 1 6
Cartesian
1.452 0.000 1.850
7.277 0.000 3.500
4.364 0.000 2.675
3.607 1.316 0.959
2.846 0.000 4.387
5.121 1.316 4.392
3.607 -1.316 0.959
5.883 0.000 0.963
5.121 -1.316 4.392

=====

HfSiNi2 | the Alexandria database | GGA-PBE | optimized geometry; DOS(E_F) = 2.79 states/eV/f.u.; size of the total moment = 0.00 μB per cell; VASP energy = -0.5288 Ry/atom; formation energy without anion corrections = -459.3 meV per atom
1.0
3.115 0.000 0.000
0.000 3.851 0.000
0.000 0.000 4.928
Hf Si Ni
1 1 2
Cartesian
0.000 0.000 0.000
1.557 0.000 2.464
1.557 1.926 1.217
1.557 1.926 3.711

=====

Hf2Si3Ni2 | the Alexandria database | GGA-PBE | optimized geometry; DOS(E_F) = 2.32 states/eV/f.u.; size of the total moment = 0.00 μB per cell; VASP energy = -0.5562 Ry/atom; formation energy without anion corrections = -748.0 meV per atom
1.0
1.923 -8.276 0.000
1.923 8.276 0.000
0.000 0.000 6.421
Hf Si Ni
4 6 4
Cartesian
1.923 7.427 4.815
1.923 5.713 1.605
1.923 -5.713 4.815
1.923 -7.427 1.605
1.923 4.603 4.815
1.923 1.078 3.611
1.923 1.078 6.020
1.923 -1.078 0.401
1.923 -1.078 2.810
1.923 -4.603 1.605
1.923 3.199 0.342
1.923 3.199 2.869
1.923 -3.199 3.552
1.923 -3.199 6.079

=====

HfSi2TcNi | the Alexandria database | GGA-PBE | optimized geometry; DOS(E_F) = 3.17 states/eV/f.u.; size of the total moment = 3.23 μB per cell; VASP energy = -0.4347 Ry/atom; formation energy without anion corrections = 1474.5 meV per atom
1.0
4.906 0.000 0.000
0.000 4.906 0.000
0.000 0.000 4.524
Hf Si Tc Ni
1 2 1 1
Cartesian
0.000 0.000 0.000
0.000 2.453 0.000
2.453 0.000 0.000
2.453 2.453 2.262
0.000 0.000 2.262

=====

HfThSi2Ni2 | the Alexandria database | GGA-PBE | optimized geometry; DOS(E_F) = 3.48 states/eV/f.u.; size of the total moment = 0.00 μB per cell; VASP energy = -0.5481 Ry/atom; formation energy without anion corrections = -827.0 meV per atom
1.0
4.084 0.000 0.000
-2.042 3.537 0.000
0.000 0.000 7.141
Hf Th Si Ni
1 1 2 2
Cartesian
0.000 0.000 0.000
0.000 0.000 3.571
0.000 2.358 5.582
2.042 1.179 1.559
0.000 2.358 1.335
2.042 1.179 5.807

=====

HfTiSiNi2 | the Alexandria database | GGA-PBE | optimized geometry; DOS(E_F) = 4.07 states/eV/f.u.; size of the total moment = 0.00 μB per cell; VASP energy = -0.4436 Ry/atom; formation energy without anion corrections = 931.4 meV per atom
1.0
4.236 0.000 0.000
0.000 4.236 0.000
0.000 0.000 5.132
Hf Ti Si Ni
1 1 1 2
Cartesian
0.000 0.000 0.000
0.000 0.000 2.566
2.118 2.118 0.000
0.000 2.118 2.566
2.118 0.000 2.566